Entry 1:
{"formula": "KCl2F", "functional": "PBE", "state": "optimized geometry", "formation_energy_uncorrected_mev_per_atom": -1019, "lattice": [[2.5665, 1.4818, 6.4711], [-2.5665, 1.4818, 6.4711], [0.0000, -2.9636, 6.4711]], "species": ["K", "Cl", "Cl", "F"], "fractional_positions": [[0.0000, 0.0000, 0.0000], [0.3954, 0.3954, 0.3954], [0.6046, 0.6046, 0.6046], [0.5000, 0.5000, 0.5000]]}

=====

Entry 2:
{"formula": "KCl2F5", "functional": "PBE", "state": "optimized geometry", "formation_energy_uncorrected_mev_per_atom": -870, "lattice": [[-2.0440, 3.7261, 5.0650], [2.0440, -3.7261, 5.0650], [2.0440, 3.7261, -5.0650]], "species": ["K", "Cl", "Cl", "F", "F", "F", "F", "F"], "fractional_positions": [[0.0000, 0.0000, 0.0000], [0.2976, 0.7976, 0.5000], [0.7024, 0.2024, 0.5000], [0.0087, 0.3473, 0.6613], [0.3140, 0.6527, 0.6613], [0.5000, 0.0000, 0.5000], [0.6860, 0.3473, 0.3387], [0.9913, 0.6527, 0.3387]]}

=====

Entry 3:
{"formula": "KCl2F8", "functional": "PBE", "state": "optimized geometry", "polymorph_energy_ev_per_fu": 0.00, "formation_energy_uncorrected_mev_per_atom": -1064, "lattice": [[-3.0134, 3.0134, 5.7740], [3.0134, -3.0134, 5.7740], [3.0134, 3.0134, -5.7740]], "species": ["K", "Cl", "Cl", "F", "F", "F", "F", "F", "F", "F", "F"], "fractional_positions": [[0.0000, 0.0000, 0.0000], [0.2500, 0.7500, 0.5000], [0.7500, 0.2500, 0.5000], [0.0062, 0.5104, 0.7974], [0.2088, 0.0062, 0.4958], [0.2870, 0.4896, 0.4958], [0.4896, 0.9938, 0.2026], [0.5104, 0.7130, 0.5042], [0.7130, 0.2088, 0.2026], [0.7912, 0.2870, 0.7974], [0.9938, 0.7912, 0.5042]]}

=====

Entry 4:
{"formula": "K4Cl3F12", "functional": "PBE", "state": "optimized geometry", "formation_energy_uncorrected_mev_per_atom": -1526, "lattice": [[-4.6415, 4.6415, 4.6415], [4.6415, -4.6415, 4.6415], [4.6415, 4.6415, -4.6415]], "species": ["K", "K", "K", "K", "Cl", "Cl", "Cl", "F", "F", "F", "F", "F", "F", "F", "F", "F", "F", "F", "F"], "fractional_positions": [[0.0000, 0.0000, 0.5000], [0.0000, 0.5000, 0.0000], [0.5000, 0.0000, 0.0000], [0.5000, 0.5000, 0.5000], [0.0000, 0.5000, 0.5000], [0.5000, 0.0000, 0.5000], [0.5000, 0.5000, 0.0000], [0.1399, 0.3483, 0.4882], [0.1399, 0.6517, 0.7917], [0.2083, 0.8601, 0.3483], [0.3483, 0.2083, 0.8601], [0.3483, 0.4882, 0.1399], [0.4882, 0.1399, 0.3483], [0.5118, 0.8601, 0.6517], [0.6517, 0.5118, 0.8601], [0.6517, 0.7917, 0.1399], [0.7917, 0.1399, 0.6517], [0.8601, 0.3483, 0.2083], [0.8601, 0.6517, 0.5118]]}

=====

Entry 5:
{"formula": "KClF2", "functional": "PBE", "state": "optimized geometry", "polymorph_energy_ev_per_fu": 2.12, "formation_energy_uncorrected_mev_per_atom": -1177, "lattice": [[2.0961, 1.2102, 4.6837], [-2.0961, 1.2102, 4.6837], [0.0000, -2.4203, 4.6837]], "species": ["K", "Cl", "F", "F"], "fractional_positions": [[0.0000, 0.0000, 0.0000], [0.5000, 0.5000, 0.5000], [0.2342, 0.2342, 0.2342], [0.7658, 0.7658, 0.7658]]}

=====

Entry 6:
{"formula": "KCl2F", "functional": "PBE", "state": "optimized geometry", "formation_energy_uncorrected_mev_per_atom": -1363, "lattice": [[3.9849, -2.1953, 0.0000], [3.9849, 2.1953, 0.0000], [-1.7947, 0.0000, 6.7124]], "species": ["K", "Cl", "Cl", "F"], "fractional_positions": [[0.0000, 0.0000, 0.0000], [0.4658, 0.4658, 0.3728], [0.5990, 0.5990, 0.6802], [0.3385, 0.3385, 0.0646]]}

=====

Entry 7:
{"formula": "KCl2F8", "functional": "PBE", "state": "optimized geometry", "polymorph_energy_ev_per_fu": 0.17, "formation_energy_uncorrected_mev_per_atom": -1048, "lattice": [[6.0353, -3.1285, 0.0000], [6.0353, 3.1285, 0.0000], [-0.5631, 0.0000, 4.7308]], "species": ["K", "Cl", "Cl", "F", "F", "F", "F", "F", "F", "F", "F"], "fractional_positions": [[0.0000, 0.0000, 0.0000], [0.3522, 0.3522, 0.4189], [0.6478, 0.6478, 0.5811], [0.0742, 0.6490, 0.4127], [0.2596, 0.2596, 0.1055], [0.3510, 0.9258, 0.5873], [0.4424, 0.4424, 0.7522], [0.5576, 0.5576, 0.2478], [0.6490, 0.0742, 0.4127], [0.7404, 0.7404, 0.8945], [0.9258, 0.3510, 0.5873]]}

=====

Entry 8:
{"formula": "KClF2", "functional": "PBE", "state": "optimized geometry", "polymorph_energy_ev_per_fu": 0.00, "formation_energy_uncorrected_mev_per_atom": -1706, "lattice": [[4.3450, 0.0000, 0.0000], [-2.1725, 3.7629, 0.0000], [0.0000, 0.0000, 11.7409]], "species": ["K", "K", "Cl", "Cl", "F", "F", "F", "F"], "fractional_positions": [[0.0000, 0.0000, 0.0000], [0.0000, 0.0000, 0.5000], [0.3333, 0.6667, 0.2500], [0.6667, 0.3333, 0.7500], [0.3333, 0.6667, 0.0888], [0.3333, 0.6667, 0.4112], [0.6667, 0.3333, 0.5888], [0.6667, 0.3333, 0.9112]]}

=====

Entry 9:
{"formula": "K4Cl2F", "functional": "PBE", "state": "optimized geometry", "formation_energy_uncorrected_mev_per_atom": -1754, "lattice": [[-2.6555, 2.6555, 8.1869], [2.6555, -2.6555, 8.1869], [2.6555, 2.6555, -8.1869]], "species": ["K", "K", "K", "K", "Cl", "Cl", "F"], "fractional_positions": [[0.0000, 0.5000, 0.5000], [0.1850, 0.1850, 0.0000], [0.5000, 0.0000, 0.5000], [0.8150, 0.8150, 0.0000], [0.3815, 0.3815, 0.0000], [0.6185, 0.6185, 0.0000], [0.0000, 0.0000, 0.0000]]}

=====

Entry 10:
{"formula": "KCl3F", "functional": "PBE", "state": "optimized geometry", "polymorph_energy_ev_per_fu": 0.00, "formation_energy_uncorrected_mev_per_atom": -497, "lattice": [[4.8652, 0.0000, 0.0000], [0.0000, 4.8652, 0.0000], [0.0000, 0.0000, 4.8652]], "species": ["K", "Cl", "Cl", "Cl", "F"], "fractional_positions": [[0.0000, 0.0000, 0.0000], [0.0000, 0.5000, 0.5000], [0.5000, 0.0000, 0.5000], [0.5000, 0.5000, 0.0000], [0.5000, 0.5000, 0.5000]]}

=====

Entry 11:
{"formula": "KClF2", "functional": "PBE", "state": "optimized geometry", "polymorph_energy_ev_per_fu": 0.00, "formation_energy_uncorrected_mev_per_atom": -1706, "lattice": [[2.1467, 1.2394, 5.9263], [-2.1467, 1.2394, 5.9263], [0.0000, -2.4788, 5.9263]], "species": ["K", "Cl", "F", "F"], "fractional_positions": [[0.0000, 0.0000, 0.0000], [0.5000, 0.5000, 0.5000], [0.3935, 0.3935, 0.3935], [0.6065, 0.6065, 0.6065]]}

=====

Entry 12:
{"formula": "K4Cl3F", "functional": "PBE", "state": "optimized geometry", "polymorph_energy_ev_per_fu": 0.04, "formation_energy_uncorrected_mev_per_atom": -2112, "lattice": [[4.4011, -6.1591, 0.0000], [4.4011, 6.1591, 0.0000], [0.0000, 0.0000, 4.3182]], "species": ["K", "K", "K", "K", "Cl", "Cl", "Cl", "F"], "fractional_positions": [[0.2274, 0.2274, 0.5000], [0.2367, 0.7633, 0.0000], [0.7633, 0.2367, 0.0000], [0.7726, 0.7726, 0.5000], [0.0000, 0.5000, 0.5000], [0.5000, 0.0000, 0.5000], [0.5000, 0.5000, 0.0000], [0.0000, 0.0000, 0.0000]]}